# 1
4
Lattice="2.907 0.000 0.000 0.000 2.907 0.000 0.000 0.000 7.602" Properties=species:S:1:pos:R:3 comment="Cd2FeMo | Alexandria | SCAN | single point on PBEsol structure" crystal_system=tetragonal ef_mev_per_atom=260 space_group="P4mm (99)" total_magnetization_mub_per_fu=1.11 pbc="T T T"
Cd 0.000 0.000 0.000
Cd 1.454 1.454 2.294
Fe 0.000 0.000 4.176
Mo 1.454 1.454 5.448

***

# 2
4
Lattice="0.000 3.175 3.175 3.175 0.000 3.175 3.175 3.175 0.000" Properties=species:S:1:pos:R:3 comment="Cd2FeMo | Alexandria | SCAN | single point on PBEsol structure" crystal_system=cubic ef_mev_per_atom=520 space_group="F-43m (216)" total_magnetization_mub_per_fu=0.85 pbc="T T T"
Cd 0.000 0.000 0.000
Cd 1.587 1.587 1.587
Fe 4.762 4.762 4.762
Mo 3.175 3.175 3.175

***

# 3
4
Lattice="-1.944 1.944 4.289 1.944 -1.944 4.289 1.944 1.944 -4.289" Properties=species:S:1:pos:R:3 comment="Cd2FeMo | Alexandria | SCAN | single point on PBEsol structure" crystal_system=tetragonal ef_mev_per_atom=530 space_group="I4/mmm (139)" total_magnetization_mub_per_fu=3.26 pbc="T T T"
Cd 1.944 0.000 2.144
Cd 0.000 1.944 2.144
Fe 0.000 0.000 0.000
Mo 0.000 0.000 4.289

***

# 4
5
Lattice="4.389 0.000 0.000 0.000 4.389 0.000 0.000 0.000 4.389" Properties=species:S:1:pos:R:3 comment="CdFe3Mo | Alexandria | SCAN | single point on PBEsol structure" crystal_system=cubic ef_mev_per_atom=1483 space_group="Pm-3m (221)" total_magnetization_mub_per_fu=5.77 pbc="T T T"
Cd 0.000 0.000 0.000
Fe 0.000 2.194 2.194
Fe 2.194 0.000 2.194
Fe 2.194 2.194 0.000
Mo 2.194 2.194 2.194

***

# 5
5
Lattice="5.074 0.000 0.000 0.000 5.074 0.000 0.000 0.000 4.199" Properties=species:S:1:pos:R:3 comment="ZrCd2FeMo | Alexandria | SCAN | single point on PBEsol structure" crystal_system=tetragonal ef_mev_per_atom=1086 space_group="P4/mmm (123)" total_magnetization_mub_per_fu=1.41 pbc="T T T"
Zr 0.000 0.000 0.000
Cd 0.000 2.537 2.100
Cd 2.537 0.000 2.100
Fe 2.537 2.537 0.000
Mo 2.537 2.537 2.100

***

# 6
5
Lattice="4.185 0.000 0.000 0.000 4.185 0.000 0.000 0.000 4.266" Properties=species:S:1:pos:R:3 comment="NaCdFeN2 | Alexandria | SCAN | single point on PBEsol structure" crystal_system=tetragonal space_group="P4/mmm (123)" raw_formation_energy_mev_per_atom=2106 total_magnetization_mub_per_fu=5.57 pbc="T T T"
Na 0.000 0.000 0.000
Cd 2.093 2.093 2.133
Fe 0.000 0.000 2.133
N 0.000 2.093 0.000
N 2.093 0.000 0.000

***

# 7
5
Lattice="4.952 0.000 0.000 0.000 4.952 0.000 0.000 0.000 4.012" Properties=species:S:1:pos:R:3 comment="CdFeS2N | Alexandria | SCAN | single point on PBEsol structure" crystal_system=tetragonal space_group="P4/mmm (123)" raw_formation_energy_mev_per_atom=1255 total_magnetization_mub_per_fu=6.16 pbc="T T T"
Cd 0.000 0.000 0.000
Fe 2.476 2.476 2.006
S 0.000 2.476 0.000
S 2.476 0.000 0.000
N 0.000 0.000 2.006

***

# 8
5
Lattice="5.344 0.000 0.000 0.000 5.344 0.000 0.000 0.000 3.375" Properties=species:S:1:pos:R:3 comment="CdFeTe2N | Alexandria | SCAN | single point on PBEsol structure" crystal_system=tetragonal space_group="P4/mmm (123)" raw_formation_energy_mev_per_atom=185 total_magnetization_mub_per_fu=0.86 pbc="T T T"
Cd 0.000 0.000 0.000
Fe 2.672 2.672 1.687
Te 0.000 2.672 1.687
Te 2.672 0.000 1.687
N 2.672 2.672 0.000

***

# 9
5
Lattice="4.379 0.000 0.000 0.000 4.379 0.000 0.000 0.000 4.379" Properties=species:S:1:pos:R:3 comment="NaCdFe3 | Alexandria | SCAN | single point on PBEsol structure" crystal_system=cubic ef_mev_per_atom=1679 space_group="Pm-3m (221)" total_magnetization_mub_per_fu=8.45 pbc="T T T"
Na 0.000 0.000 0.000
Cd 2.189 2.189 2.189
Fe 0.000 0.000 2.189
Fe 0.000 2.189 0.000
Fe 2.189 0.000 0.000

***

# 10
5
Lattice="6.657 0.000 0.000 0.000 6.657 0.000 0.000 0.000 5.733" Properties=species:S:1:pos:R:3 comment="Rb2NaCdFe | Alexandria | SCAN | single point on PBEsol structure" crystal_system=tetragonal ef_mev_per_atom=788 space_group="P4/mmm (123)" total_magnetization_mub_per_fu=3.37 pbc="T T T"
Rb 0.000 3.329 0.000
Rb 3.329 0.000 0.000
Na 0.000 0.000 2.867
Cd 0.000 0.000 0.000
Fe 3.329 3.329 2.867

***

# 11
4
Lattice="0.000 3.117 3.117 3.117 0.000 3.117 3.117 3.117 0.000" Properties=species:S:1:pos:R:3 comment="Cd2FeNi | Alexandria | SCAN | single point on PBEsol structure" crystal_system=cubic ef_mev_per_atom=259 space_group="F-43m (216)" total_magnetization_mub_per_fu=3.50 pbc="T T T"
Cd 0.000 0.000 0.000
Cd 1.558 1.558 1.558
Fe 4.675 4.675 4.675
Ni 3.117 3.117 3.117

***

# 12
4
Lattice="-2.061 2.061 3.525 2.061 -2.061 3.525 2.061 2.061 -3.525" Properties=species:S:1:pos:R:3 comment="Cd2FeNi | Alexandria | SCAN | single point on PBEsol structure" crystal_system=tetragonal ef_mev_per_atom=265 space_group="I4/mmm (139)" total_magnetization_mub_per_fu=2.95 pbc="T T T"
Cd 2.061 0.000 1.762
Cd 0.000 2.061 1.762
Fe 0.000 0.000 0.000
Ni 0.000 0.000 3.525